Here is a geometry-optimized Tb5DyAg6 structure from the Alexandria database. Energies are from GGA-PBE.

Lattice parameters (Å, degrees): 5.1840 15.5604 7.2356 90.00 90.00 90.00
With the nearest neighbours (Å) after each atom.
Space group Cmmm (No. 65)
Inequivalent atoms, fractional coordinates:
Tb 0.0000 0.0000 0.0000 x2  8 Ag 3.16-3.17
Tb 0.0000 0.3333 0.0000 x4  8 Ag 3.16-3.17
Tb 0.0000 0.3335 0.5000 x4  8 Ag 3.15-3.17
Dy 0.0000 0.0000 0.5000 x2  8 Ag 3.16
Ag 0.0000 0.1664 0.2504 x8  1 Dy 3.16, 7 Tb 3.16-3.17
Ag 0.0000 0.5000 0.2514 x4  6 Tb 3.15-3.17, 2 Dy 3.16

Properties
* total energy: -97.34 eV for the cell shown
* crystal system: orthorhombic